No. 1
VASP calculation (PBE) on crystalline Pu3SnOs at its relaxed geometry.

The structure belongs to space group Pmm2 (No. 25); the cell edges are 3.167, 9.152 and 8.304 Å and the angles 90.00°, 90.00° and 90.00°. Symmetry generates all atoms from Pu at (0.000, 0.000, 0.000), Pu at (0.000, 0.198, 0.628), Pu at (0.000, 0.301, 0.225), Pu at (0.000, 0.500, 0.855), Sn at (0.500, 0.000, 0.358), Sn at (0.500, 0.500, 0.497) and Os at (0.500, 0.254, 0.934).



No. 2
VASP calculation (PBE) on crystalline Hf4ReAu at its relaxed geometry.

The structure belongs to space group P4/mmm (No. 123); the cell edges are 3.288, 3.288 and 10.959 Å and the angles 90.00°, 90.00° and 90.00°. Symmetry generates all atoms from Hf at (0.000, 0.000, 0.146), Hf at (0.500, 0.500, 0.331), Re at (0.500, 0.500, 0.000) and Au at (0.000, 0.000, 0.500).

Its polymorph energy (0 for the lowest one) is 0.000 eV per atom.



Number 1: uncorrected energy -117.35 eV/cell, energy relative to the elements -0.090 eV per atom, size of the total moment 9.4 Bohr magnetons per cell. Number 2: uncorrected energy -57.26 eV/cell, energy relative to the elements -0.287 eV per atom, size of the total moment 0.0 Bohr magnetons per cell.